# 1
Here is an optimized crystal structure of CoP2W from Alexandria via LeMat-Bulk. Energies are from PBE-GGA.

```
data_CoP2W
_symmetry_space_group_name_H-M 'P 1 2/m 1'
_symmetry_Int_Tables_number 10
_cell_length_a 3.0473
_cell_length_b 3.0289
_cell_length_c 5.8203
_cell_angle_alpha 90.00
_cell_angle_beta 101.51
_cell_angle_gamma 90.00
loop_
_symmetry_equiv_pos_as_xyz
'x,y,z'
'-x,-y,-z'
'-x,y,-z'
'x,-y,z'
loop_
_atom_site_label
_atom_site_type_symbol
_atom_site_fract_x
_atom_site_fract_y
_atom_site_fract_z
_atom_site_occupancy
Co1 Co 0.0000 0.0000 0.0000 1
P1 P 0.3966 0.5000 0.2552 1
W1 W 0.0000 0.0000 0.5000 1
```

energy of formation	-0.079	eV per atom

***

# 2
Here is an optimized crystal structure of BiPb4 from Alexandria via LeMat-Bulk. Energies are from PBE-GGA.

```
data_BiPb4
_symmetry_space_group_name_H-M 'P m -3 m'
_symmetry_Int_Tables_number 221
_symmetry_space_group_name_Hall '-P 4 2 3'
_cell_length_a 5.9867
_cell_length_b 5.9867
_cell_length_c 5.9867
_cell_angle_alpha 90.00
_cell_angle_beta 90.00
_cell_angle_gamma 90.00
loop_
_atom_site_label
_atom_site_type_symbol
_atom_site_fract_x
_atom_site_fract_y
_atom_site_fract_z
_atom_site_occupancy
Bi1 Bi 0.0000 0.0000 0.0000 1
Pb1 Pb 0.0000 0.0000 0.5000 1
Pb2 Pb 0.5000 0.5000 0.5000 1
```

energy of formation	0.573	eV per atom

***

# 3
Here is an optimized crystal structure of Tm5TlGe2 from Alexandria via LeMat-Bulk. Energies are from PBE-GGA.

```
data_Tm5TlGe2
_symmetry_space_group_name_H-M 'I 4/m c m'
_symmetry_Int_Tables_number 140
_symmetry_space_group_name_Hall '-I 4 2c'
_cell_length_a 7.7416
_cell_length_b 7.7416
_cell_length_c 13.5170
_cell_angle_alpha 90.00
_cell_angle_beta 90.00
_cell_angle_gamma 90.00
loop_
_atom_site_label
_atom_site_type_symbol
_atom_site_fract_x
_atom_site_fract_y
_atom_site_fract_z
_atom_site_occupancy
Tm1 Tm 0.0000 0.0000 0.0000 1
Tm2 Tm 0.1581 0.3419 0.1416 1
Tl1 Tl 0.0000 0.0000 0.2500 1
Ge1 Ge 0.1450 0.3550 0.5000 1
```

energy of formation	-0.626	eV per atom

***

# 4
Here is an optimized crystal structure of Ho4Er5Mg from Alexandria via LeMat-Bulk. Energies are from PBE-GGA.

```
data_Ho4Er5Mg
_symmetry_space_group_name_H-M 'P 4/m m m'
_symmetry_Int_Tables_number 123
_symmetry_space_group_name_Hall '-P 4 2'
_cell_length_a 3.5148
_cell_length_b 3.5148
_cell_length_c 24.2972
_cell_angle_alpha 90.00
_cell_angle_beta 90.00
_cell_angle_gamma 90.00
loop_
_atom_site_label
_atom_site_type_symbol
_atom_site_fract_x
_atom_site_fract_y
_atom_site_fract_z
_atom_site_occupancy
Ho1 Ho 0.0000 0.0000 0.1022 1
Ho2 Ho 0.0000 0.0000 0.3073 1
Er1 Er 0.5000 0.5000 0.0000 1
Er2 Er 0.5000 0.5000 0.2046 1
Er3 Er 0.5000 0.5000 0.4077 1
Mg1 Mg 0.0000 0.0000 0.5000 1
```

energy of formation	0.004	eV per atom

***

# 5
Here is an optimized crystal structure of CaScSi2Pd5 from Alexandria via LeMat-Bulk. Energies are from PBE-GGA.

```
data_CaScSi2Pd5
_symmetry_space_group_name_H-M 'P 4/m m m'
_symmetry_Int_Tables_number 123
_symmetry_space_group_name_Hall '-P 4 2'
_cell_length_a 4.1235
_cell_length_b 4.1235
_cell_length_c 8.9665
_cell_angle_alpha 90.00
_cell_angle_beta 90.00
_cell_angle_gamma 90.00
loop_
_atom_site_label
_atom_site_type_symbol
_atom_site_fract_x
_atom_site_fract_y
_atom_site_fract_z
_atom_site_occupancy
Ca1 Ca 0.0000 0.0000 0.0000 1
Sc1 Sc 0.0000 0.0000 0.5000 1
Si1 Si 0.5000 0.5000 0.3719 1
Pd1 Pd 0.0000 0.5000 0.2401 1
Pd2 Pd 0.5000 0.5000 0.0000 1
```

formation energy (no corrections)	-17.53	kcal/mol of atoms

***

# 6
Here is an optimized crystal structure of Th4Al12Os from Alexandria via LeMat-Bulk. Energies are from PBE-GGA.

```
data_Th4Al12Os
_symmetry_space_group_name_H-M 'I m -3 m'
_symmetry_Int_Tables_number 229
_symmetry_space_group_name_Hall '-I 4 2 3'
_cell_length_a 8.8595
_cell_length_b 8.8595
_cell_length_c 8.8595
_cell_angle_alpha 90.00
_cell_angle_beta 90.00
_cell_angle_gamma 90.00
loop_
_atom_site_label
_atom_site_type_symbol
_atom_site_fract_x
_atom_site_fract_y
_atom_site_fract_z
_atom_site_occupancy
Th1 Th 0.2500 0.2500 0.2500 1
Al1 Al 0.0000 0.0000 0.2891 1
Al2 Al 0.0000 0.2500 0.5000 1
Os1 Os 0.0000 0.0000 0.0000 1
```

energy of formation	-0.417	eV per atom

***

| no. | raw total energy (eV per cell) |
| --- | --- |
| 1 | -31.2 |
| 2 | -15.8 |
| 3 | -155.9 |
| 4 | -42.7 |
| 5 | -52.0 |
| 6 | -185.8 |